No. 1
PBE LiPr2Ag2, optimized geometry; formation energy = -0.164 eV/atom; SG = No. 127; calculated volume = 271 Å³ per cell; total DFT energy (no corrections) = -3.600 eV/atom; density of states at the Fermi level = 4.961 states/eV/f.u.; total magnetic moment = 0.000 μB/f.u.
1.0
8.075 0.000 0.000
0.000 8.075 0.000
0.000 0.000 4.150
Li Pr Ag
2 4 4
direct
0.000 0.000 0.000
0.500 0.500 0.000
0.169 0.331 0.500
0.331 0.831 0.500
0.669 0.169 0.500
0.831 0.669 0.500
0.129 0.629 0.000
0.371 0.129 0.000
0.629 0.871 0.000
0.871 0.371 0.000

---

No. 2
PBE Li2PrAg, optimized geometry; formation energy = -0.099 eV/atom; SG = No. 11; calculated volume = 185 Å³ per cell; total DFT energy (no corrections) = -2.964 eV/atom; density of states at the Fermi level = 2.767 states/eV/f.u.; total magnetic moment = 0.000 μB/f.u.
1.0
4.298 0.000 0.000
0.000 7.923 0.000
-2.142 0.000 5.422
Li Pr Ag
4 2 2
direct
0.154 0.056 0.310
0.154 0.444 0.310
0.846 0.556 0.690
0.846 0.944 0.690
0.441 0.250 0.882
0.559 0.750 0.118
0.275 0.750 0.549
0.725 0.250 0.451

---

No. 3
PBE Li3PrAg3, optimized geometry; formation energy = 0.151 eV/atom; SG = No. 223; calculated volume = 315 Å³ per cell; total DFT energy (no corrections) = -2.574 eV/atom; density of states at the Fermi level = 3.240 states/eV/f.u.; total magnetic moment = 0.000 μB/f.u.
1.0
6.801 0.000 0.000
0.000 6.801 0.000
0.000 0.000 6.801
Li Pr Ag
6 2 6
direct
0.000 0.250 0.500
0.000 0.750 0.500
0.250 0.500 0.000
0.500 0.000 0.250
0.500 0.000 0.750
0.750 0.500 0.000
0.000 0.000 0.000
0.500 0.500 0.500
0.000 0.500 0.250
0.000 0.500 0.750
0.250 0.000 0.500
0.500 0.250 0.000
0.500 0.750 0.000
0.750 0.000 0.500

---

No. 4
PBE Li2Pr3Ag9, optimized geometry; formation energy = -0.201 eV/atom; SG = No. 71; calculated volume = 307 Å³ per cell; total DFT energy (no corrections) = -3.332 eV/atom; density of states at the Fermi level = 7.696 states/eV/f.u.; total magnetic moment = 0.000 μB/f.u.
1.0
-2.325 4.956 6.665
2.325 -4.956 6.665
2.325 4.956 -6.665
Li Pr Ag
2 3 9
direct
0.192 0.000 0.192
0.808 0.000 0.808
0.208 0.208 0.000
0.500 0.500 0.000
0.792 0.792 0.000
0.000 0.500 0.500
0.088 0.372 0.716
0.200 0.840 0.360
0.343 0.628 0.716
0.480 0.840 0.640
0.520 0.160 0.360
0.657 0.372 0.284
0.800 0.160 0.640
0.912 0.628 0.284

---

No. 5
PBE LiPr2Ag, optimized geometry; formation energy = -0.067 eV/atom; SG = No. 123; calculated volume = 109 Å³ per cell; total DFT energy (no corrections) = -3.648 eV/atom; density of states at the Fermi level = 4.664 states/eV/f.u.; total magnetic moment = 0.402 μB/f.u.
1.0
5.269 0.000 0.000
0.000 5.269 0.000
0.000 0.000 3.932
Li Pr Ag
1 2 1
direct
0.000 0.000 0.000
0.000 0.500 0.500
0.500 0.000 0.500
0.500 0.500 0.000

---

No. 6
PBE LiPrAg2, optimized geometry; formation energy = -0.194 eV/atom; SG = No. 123; calculated volume = 86 Å³ per cell; total DFT energy (no corrections) = -3.293 eV/atom; density of states at the Fermi level = 2.682 states/eV/f.u.; total magnetic moment = 0.001 μB/f.u.
1.0
3.431 0.000 0.000
0.000 3.431 0.000
0.000 0.000 7.302
Li Pr Ag
1 1 2
direct
0.000 0.000 0.000
0.000 0.000 0.500
0.500 0.500 0.198
0.500 0.500 0.802